This record from Alexandria via LeMat-Bulk describes TmCd5Hg6 after structural relaxation. The functional is PBE-GGA.

```
TmCd5Hg6
1.0
4.603 -0.027 -1.305
-3.555 7.411 -3.768
0.015 -0.947 8.993
Cd Hg Tm
5 6 1
Cartesian
-0.656 5.999 -2.286 Cd
1.719 0.438 6.205 Cd
0.532 3.219 1.960 Cd
2.191 4.709 -0.988 Cd
-1.128 1.729 4.907 Cd
-1.517 4.788 3.561 Hg
0.852 0.297 3.041 Hg
-0.293 2.978 -1.053 Hg
1.356 3.459 4.972 Hg
2.580 1.649 0.358 Hg
0.211 6.141 0.878 Hg
0.000 0.000 0.000 Tm
```

M_tot: 0.0000 μB/atom
ΔH_f (0 K): -0.089 eV/atom

This record from Alexandria via LeMat-Bulk describes Tm2CdHg after structural relaxation. The functional is PBE-GGA.

```
Tm2CdHg
1.0
3.689 0.000 0.000
0.000 3.689 0.000
0.000 0.000 7.345
Cd Tm Hg
1 2 1
Cartesian
1.845 1.845 3.672 Cd
0.000 0.000 1.813 Tm
0.000 0.000 5.532 Tm
1.845 1.845 0.000 Hg
```

Distance to the lowest polymorph of the same formula: 0 meV/atom
M_tot: 0.0000 μB/atom
ΔH_f (0 K): -0.393 eV/atom

This record from Alexandria via LeMat-Bulk describes Tm3Cd2Hg8 after structural relaxation. The functional is PBE-GGA.

```
Tm3Cd2Hg8
1.0
-3.262 -0.962 4.987
2.736 -0.403 5.365
-1.260 10.258 4.808
Cd Tm Hg
2 3 8
Cartesian
-0.460 0.175 7.039 Cd
-1.325 8.718 8.121 Cd
-0.643 4.168 4.036 Tm
-1.142 4.725 11.124 Tm
0.000 0.000 0.000 Tm
0.831 2.885 6.584 Hg
-1.443 7.693 11.499 Hg
-0.796 2.405 9.071 Hg
-2.616 6.008 8.576 Hg
-0.989 6.488 6.089 Hg
-2.161 2.606 6.395 Hg
0.376 6.287 8.765 Hg
-0.343 1.200 3.660 Hg
```

M_tot: 0.0000 μB/atom
ΔH_f (0 K): -0.063 eV/atom

This record from Alexandria via LeMat-Bulk describes Tm3CdHg4 after structural relaxation. The functional is PBE-GGA.

```
Tm3CdHg4
1.0
-3.456 -0.073 0.505
-0.707 -4.155 -5.436
2.978 -4.767 7.608
Tm Hg Cd
3 4 1
Cartesian
-1.584 -5.936 0.391 Tm
0.399 -3.059 2.286 Tm
-0.354 -2.078 -2.718 Tm
-1.698 -2.924 0.040 Hg
0.513 -6.071 2.638 Hg
0.828 -4.223 5.056 Hg
-2.013 -4.772 -2.378 Hg
-1.728 -0.036 0.253 Cd
```

Distance to the lowest polymorph of the same formula: 126 meV/atom
M_tot: 0.0000 μB/atom
ΔH_f (0 K): -0.291 eV/atom

This record from Alexandria via LeMat-Bulk describes Tm3CdHg4 after structural relaxation. The functional is PBE-GGA.

```
Tm3CdHg4
1.0
-1.751 -3.510 3.263
3.014 -1.747 3.728
-2.370 4.433 7.486
Tm Hg Cd
3 4 1
Cartesian
-0.553 -0.412 7.239 Tm
-0.225 -0.320 3.524 Tm
-0.881 -0.504 10.953 Tm
0.470 -2.681 5.348 Hg
-1.577 1.857 9.130 Hg
0.171 -2.837 9.008 Hg
-1.278 2.014 5.469 Hg
0.000 0.000 0.000 Cd
```

Distance to the lowest polymorph of the same formula: 0 meV/atom
M_tot: 0.0000 μB/atom
ΔH_f (0 K): -0.417 eV/atom

This record from Alexandria via LeMat-Bulk describes TmCdHg2 after structural relaxation. The functional is PBE-GGA.

```
TmCdHg2
1.0
-3.459 -1.091 -0.510
1.181 -3.379 -0.779
-0.461 -1.741 6.854
Hg Cd Tm
2 1 1
Cartesian
-0.115 -0.434 1.707 Hg
-0.346 -1.308 5.147 Hg
-1.139 -2.235 -0.645 Cd
-1.370 -3.106 2.783 Tm
```

Distance to the lowest polymorph of the same formula: 71 meV/atom
M_tot: 0.0004 μB/atom
ΔH_f (0 K): -0.255 eV/atom